A plane-wave DFT calculation with GGA+U was carried out for crystalline GaPbWO5 at its relaxed geometry.

Unit cell a=5.907 b=5.907 c=7.670 alpha=105.14 beta=105.14 gamma=105.99
Element x y z (fractional)
Ga 0.188 0.812 0.750
Ga 0.812 0.188 0.250
Pb 0.182 0.818 0.250
Pb 0.818 0.182 0.750
W 0.500 0.500 0.000
W 0.500 0.500 0.500
O 0.149 0.272 0.403
O 0.203 0.612 0.902
O 0.272 0.149 0.903
O 0.388 0.797 0.598
O 0.436 0.564 0.250
O 0.564 0.436 0.750
O 0.612 0.203 0.402
O 0.728 0.851 0.097
O 0.797 0.388 0.098
O 0.851 0.728 0.597

Summary:
SG: No. 15
Total energy, eV/atom: -6.638
N(E_F), states/eV/atom: 0.00
Total magnetization, μB per cell: 2.00